# 1
{
  "formula": "CdBRh2",
  "functional": "PBE",
  "state": "relaxed",
  "ef_mev_per_atom": -307,
  "n_ef_per_ev_cell": 4.63,
  "volume_a3_per_cell": 110,
  "spacegroup": "P2_1/m, No. 11",
  "de_polymorph_mev_per_atom": 0,
  "cell": [[2.9048, 0.0030, -0.2894], [-0.0062, 5.7364, -0.0018], [-0.7885, 0.0012, 6.6502]],
  "species": ["Cd", "Cd", "B", "B", "Rh", "Rh", "Rh", "Rh"],
  "frac_coords": [[0.9966, 0.2500, 0.4937], [0.0034, 0.7500, 0.5063], [0.2140, 0.2500, 0.9307], [0.7860, 0.7500, 0.0693], [0.3405, 0.0002, 0.1805], [0.6595, 0.9998, 0.8195], [0.6595, 0.5002, 0.8195], [0.3405, 0.4998, 0.1805]]
}

# 2
{
  "formula": "CdB5Rh6",
  "functional": "PBE",
  "state": "relaxed",
  "ef_mev_per_atom": -273,
  "n_ef_per_ev_cell": 4.19,
  "volume_a3_per_cell": 146,
  "spacegroup": "C2/m, No. 12",
  "cell": [[-5.0705, 3.5848, 0.6671], [2.3136, -4.2755, 4.4493], [5.0054, 1.3738, 1.4239]],
  "species": ["B", "B", "B", "B", "B", "Rh", "Rh", "Rh", "Rh", "Rh", "Rh", "Cd"],
  "frac_coords": [[0.6038, 0.5000, 0.2079], [0.3061, 0.0000, 0.6123], [0.0000, 0.5000, 0.0000], [0.6939, 0.0000, 0.3877], [0.3962, 0.5000, 0.7921], [0.8831, 0.7451, 0.5704], [0.6873, 0.2549, 0.5705], [0.5887, 0.2599, 0.0001], [0.4113, 0.7401, 0.9999], [0.3127, 0.7451, 0.4295], [0.1169, 0.2549, 0.4296], [0.0000, 0.0000, 0.0000]]
}

# 3
{
  "formula": "CdB3Rh",
  "functional": "PBE",
  "state": "relaxed",
  "ef_mev_per_atom": 2499,
  "n_ef_per_ev_cell": 1.60,
  "volume_a3_per_cell": 74,
  "spacegroup": "Pm-3m, No. 221",
  "de_polymorph_mev_per_atom": 1438,
  "cell": [[-2.2918, -2.0753, 2.8498], [-0.5464, -3.1489, -2.7325], [3.4828, -1.8596, 1.4466]],
  "species": ["B", "B", "B", "Rh", "Cd"],
  "frac_coords": [[0.0000, 0.5000, 0.0000], [0.0000, 0.0000, 0.5000], [0.5000, 0.0000, 0.0000], [0.5000, 0.5000, 0.5000], [0.0000, 0.0000, 0.0000]]
}

# 4
{
  "formula": "CdBRh2",
  "functional": "PBE",
  "state": "relaxed",
  "ef_mev_per_atom": -265,
  "n_ef_per_ev_cell": 5.04,
  "volume_a3_per_cell": 108,
  "spacegroup": "C2/m, No. 12",
  "de_polymorph_mev_per_atom": 42,
  "cell": [[2.8922, 0.0000, 0.0000], [-1.4461, 5.5224, -0.1342], [0.0000, -0.5300, 6.8034]],
  "species": ["Cd", "Cd", "B", "B", "Rh", "Rh", "Rh", "Rh"],
  "frac_coords": [[0.3712, 0.7424, 0.0171], [0.6288, 0.2576, 0.9829], [0.4121, 0.8242, 0.4457], [0.5879, 0.1758, 0.5543], [0.7822, 0.5643, 0.3393], [0.2178, 0.4357, 0.6607], [0.9592, 0.9183, 0.6856], [0.0408, 0.0817, 0.3144]]
}

# 5
{
  "formula": "Cd2BRh",
  "functional": "PBE",
  "state": "relaxed",
  "ef_mev_per_atom": 358,
  "n_ef_per_ev_cell": 4.93,
  "volume_a3_per_cell": 173,
  "spacegroup": "I-42d, No. 122",
  "cell": [[-0.9618, -2.0024, -9.0256], [5.4345, -7.4635, 1.0767], [0.6241, -5.8464, -3.5556]],
  "species": ["B", "B", "Rh", "Rh", "Cd", "Cd", "Cd", "Cd"],
  "frac_coords": [[0.5000, 0.5000, 0.0000], [0.2500, 0.7500, 0.5000], [0.0000, 0.0000, 0.0000], [0.7500, 0.2500, 0.5000], [0.3738, 0.1250, 0.2500], [0.3762, 0.6250, 0.2500], [0.3750, 0.6262, 0.7500], [0.8750, 0.6238, 0.7500]]
}

# 6
{
  "formula": "CdBRh",
  "functional": "PBE",
  "state": "relaxed",
  "ef_mev_per_atom": -39,
  "n_ef_per_ev_cell": 4.11,
  "volume_a3_per_cell": 172,
  "spacegroup": "P2_1/m, No. 11",
  "cell": [[-1.5060, -3.7240, 1.2673], [5.4336, -4.1902, 1.7631], [1.5119, -0.8675, 6.8667]],
  "species": ["Cd", "Cd", "Cd", "Cd", "Rh", "Rh", "Rh", "Rh", "B", "B", "B", "B"],
  "frac_coords": [[0.2041, 0.6639, 0.9141], [0.7959, 0.8360, 0.5862], [0.7959, 0.3361, 0.0859], [0.2041, 0.1640, 0.4138], [0.2263, 0.3992, 0.6493], [0.2261, 0.8995, 0.1494], [0.7737, 0.6008, 0.3507], [0.7739, 0.1005, 0.8506], [0.6628, 0.4500, 0.7002], [0.6627, 0.9503, 0.2001], [0.3372, 0.5500, 0.2998], [0.3373, 0.0497, 0.7999]]
}

# 7
{
  "formula": "CdBRh2",
  "functional": "PBE",
  "state": "relaxed",
  "ef_mev_per_atom": 406,
  "n_ef_per_ev_cell": 1.55,
  "volume_a3_per_cell": 55,
  "spacegroup": "Fm-3m, No. 225",
  "de_polymorph_mev_per_atom": 713,
  "cell": [[-1.8288, -3.6335, 1.2550], [-4.2175, -0.4818, -0.3207], [-1.6235, -2.6739, -2.8873]],
  "species": ["B", "Rh", "Rh", "Cd"],
  "frac_coords": [[0.0000, 0.0000, 0.0000], [0.2500, 0.2500, 0.2500], [0.7500, 0.7500, 0.7500], [0.5000, 0.5000, 0.5000]]
}

# 8
{
  "formula": "Cd2B3Rh9",
  "functional": "PBE",
  "state": "relaxed",
  "ef_mev_per_atom": -27,
  "n_ef_per_ev_cell": 30.40,
  "volume_a3_per_cell": 376,
  "spacegroup": "C2/c, No. 15",
  "cell": [[-4.9231, -1.9251, 5.0367], [4.3193, -4.6364, -3.6275], [8.0042, 3.5469, 3.8354]],
  "species": ["Cd", "Cd", "Cd", "Cd", "B", "B", "B", "B", "B", "B", "Rh", "Rh", "Rh", "Rh", "Rh", "Rh", "Rh", "Rh", "Rh", "Rh", "Rh", "Rh", "Rh", "Rh", "Rh", "Rh", "Rh", "Rh"],
  "frac_coords": [[0.3458, 0.2221, 0.7479], [0.6542, 0.7779, 0.2521], [0.9743, 0.5979, 0.7521], [0.0257, 0.4021, 0.2479], [0.5000, 0.0000, 0.0000], [0.5000, 0.5000, 0.5000], [0.7909, 0.0986, 0.4950], [0.2091, 0.9014, 0.5050], [0.1037, 0.2960, 0.0050], [0.8963, 0.7040, 0.9950], [0.4148, 0.8916, 0.7360], [0.5852, 0.1084, 0.2640], [0.6555, 0.6788, 0.7640], [0.3445, 0.3212, 0.2360], [0.3408, 0.5349, 0.9058], [0.6592, 0.4651, 0.0942], [0.1291, 0.4350, 0.5942], [0.8709, 0.5650, 0.4058], [0.8857, 0.1357, 0.7500], [0.1143, 0.8643, 0.2500], [0.1862, 0.0373, 0.9662], [0.8138, 0.9627, 0.0338], [0.5711, 0.2200, 0.5338], [0.4289, 0.7800, 0.4662], [0.8581, 0.8422, 0.5654], [0.1419, 0.1578, 0.4346], [0.7767, 0.2927, 0.9346], [0.2233, 0.7073, 0.0654]]
}

# 9
{
  "formula": "Cd2B2Rh3",
  "functional": "PBE",
  "state": "relaxed",
  "ef_mev_per_atom": -208,
  "n_ef_per_ev_cell": 2.54,
  "volume_a3_per_cell": 101,
  "spacegroup": "P-1, No. 2",
  "cell": [[2.9738, 0.0000, 0.7657], [-0.5274, 6.3330, 2.0458], [0.1336, 0.4594, 5.5796]],
  "species": ["Cd", "Cd", "B", "B", "Rh", "Rh", "Rh"],
  "frac_coords": [[0.3886, 0.5933, 0.2224], [0.6114, 0.4067, 0.7776], [0.6180, 0.9261, 0.7624], [0.3820, 0.0739, 0.2376], [0.0000, 0.0000, 0.0000], [0.8052, 0.1957, 0.3919], [0.1948, 0.8043, 0.6081]]
}

# 10
{
  "formula": "Cd2BRh2",
  "functional": "PBE",
  "state": "relaxed",
  "ef_mev_per_atom": -169,
  "n_ef_per_ev_cell": 3.67,
  "volume_a3_per_cell": 154,
  "spacegroup": "P4/mbm, No. 127",
  "de_polymorph_mev_per_atom": 77,
  "cell": [[-2.7016, -4.1002, -3.0496], [-1.7650, -2.4886, 4.9095], [-3.8358, 2.5802, -0.0711]],
  "species": ["B", "B", "Rh", "Rh", "Rh", "Rh", "Cd", "Cd", "Cd", "Cd"],
  "frac_coords": [[0.0000, 0.0000, 0.0000], [0.5000, 0.5000, 0.0000], [0.3362, 0.8362, 0.0000], [0.8362, 0.6638, 0.0000], [0.6638, 0.1638, 0.0000], [0.1638, 0.3362, 0.0000], [0.1665, 0.6665, 0.5000], [0.6665, 0.8335, 0.5000], [0.8335, 0.3335, 0.5000], [0.3335, 0.1665, 0.5000]]
}

# 11
{
  "formula": "Cd2BRh2",
  "functional": "PBE",
  "state": "relaxed",
  "ef_mev_per_atom": -247,
  "n_ef_per_ev_cell": 1.84,
  "volume_a3_per_cell": 79,
  "spacegroup": "R-3m, No. 166",
  "de_polymorph_mev_per_atom": 0,
  "cell": [[-0.1453, 1.6567, -2.6241], [-2.7461, 0.5284, -1.3535], [-1.9257, 8.6073, 3.7017]],
  "species": ["Cd", "Cd", "B", "Rh", "Rh"],
  "frac_coords": [[0.8803, 0.8803, 0.3592], [0.1197, 0.1197, 0.6408], [0.0000, 0.0000, 0.0000], [0.3737, 0.3737, 0.8788], [0.6263, 0.6263, 0.1212]]
}

# 12
{
  "formula": "CdB4Rh12",
  "functional": "PBE",
  "state": "relaxed",
  "ef_mev_per_atom": -27,
  "n_ef_per_ev_cell": 28.10,
  "volume_a3_per_cell": 229,
  "spacegroup": "Im-3, No. 204",
  "cell": [[-6.6250, -0.8467, -0.1293], [2.8554, -4.0962, -4.4376], [2.3033, -1.3878, 6.1150]],
  "species": ["Cd", "B", "B", "B", "B", "Rh", "Rh", "Rh", "Rh", "Rh", "Rh", "Rh", "Rh", "Rh", "Rh", "Rh", "Rh"],
  "frac_coords": [[0.0000, 0.0000, 0.0000], [0.0000, 0.5000, 0.0000], [0.5000, 0.0000, 0.0000], [0.5000, 0.5000, 0.5000], [0.0000, 0.0000, 0.5000], [0.8318, 0.3209, 0.1527], [0.3209, 0.4892, 0.1682], [0.8473, 0.1682, 0.6791], [0.3209, 0.1527, 0.8318], [0.1527, 0.8318, 0.3209], [0.6791, 0.5108, 0.8318], [0.4892, 0.1682, 0.3209], [0.5108, 0.8318, 0.6791], [0.6791, 0.8473, 0.1682], [0.8318, 0.6791, 0.5108], [0.1682, 0.3209, 0.4892], [0.1682, 0.6791, 0.8473]]
}

# 13
{
  "formula": "CdBRh2",
  "functional": "PBE",
  "state": "relaxed",
  "ef_mev_per_atom": -110,
  "n_ef_per_ev_cell": 1.54,
  "volume_a3_per_cell": 53,
  "spacegroup": "P4/mmm, No. 123",
  "de_polymorph_mev_per_atom": 197,
  "cell": [[2.7821, 0.0000, 0.0000], [0.0000, 2.7821, 0.0000], [0.0000, 0.0000, 6.8519]],
  "species": ["B", "Rh", "Rh", "Cd"],
  "frac_coords": [[0.5000, 0.5000, 0.0000], [0.0000, 0.0000, 0.8130], [0.0000, 0.0000, 0.1870], [0.5000, 0.5000, 0.5000]]
}

# 14
{
  "formula": "Cd2B2Rh5",
  "functional": "PBE",
  "state": "relaxed",
  "ef_mev_per_atom": -184,
  "n_ef_per_ev_cell": 14.32,
  "volume_a3_per_cell": 253,
  "spacegroup": "Cmce, No. 64",
  "cell": [[5.8946, 0.0000, 0.0000], [0.0000, 5.2478, -2.6977], [0.0000, 0.6961, 7.8071]],
  "species": ["Cd", "Cd", "Cd", "Cd", "B", "B", "B", "B", "Rh", "Rh", "Rh", "Rh", "Rh", "Rh", "Rh", "Rh", "Rh", "Rh"],
  "frac_coords": [[0.0000, 0.2289, 0.4579], [0.5000, 0.7289, 0.4579], [0.0000, 0.7711, 0.5421], [0.5000, 0.2711, 0.5421], [0.6223, 0.8771, 0.0000], [0.3777, 0.1229, 0.0000], [0.1223, 0.6229, 0.0000], [0.8777, 0.3771, 0.0000], [0.0000, 0.0000, 0.0000], [0.5000, 0.5000, 0.0000], [0.8315, 0.7686, 0.2003], [0.1685, 0.4317, 0.2003], [0.3315, 0.9317, 0.2003], [0.6685, 0.2686, 0.2003], [0.1685, 0.2314, 0.7997], [0.8315, 0.5683, 0.7997], [0.6685, 0.0683, 0.7997], [0.3315, 0.7314, 0.7997]]
}

# 15
{
  "formula": "CdBRh2",
  "functional": "PBE",
  "state": "relaxed",
  "ef_mev_per_atom": -103,
  "n_ef_per_ev_cell": 3.77,
  "volume_a3_per_cell": 115,
  "spacegroup": "I-42d, No. 122",
  "de_polymorph_mev_per_atom": 203,
  "cell": [[6.5649, 0.0000, 0.0000], [0.0000, 6.5649, 0.0000], [3.2824, 3.2824, 2.6748]],
  "species": ["B", "B", "Rh", "Rh", "Rh", "Rh", "Cd", "Cd"],
  "frac_coords": [[0.5000, 0.5000, 0.0000], [0.2500, 0.7500, 0.5000], [0.5330, 0.1250, 0.2500], [0.2170, 0.6250, 0.2500], [0.3750, 0.4670, 0.7500], [0.8750, 0.7830, 0.7500], [0.0000, 0.0000, 0.0000], [0.7500, 0.2500, 0.5000]]
}

# 16
{
  "formula": "CdB3Rh",
  "functional": "PBE",
  "state": "relaxed",
  "ef_mev_per_atom": 1061,
  "n_ef_per_ev_cell": 2.23,
  "volume_a3_per_cell": 72,
  "spacegroup": "Pm-3m, No. 221",
  "de_polymorph_mev_per_atom": 0,
  "cell": [[-1.8585, 3.7105, 0.2803], [-3.7160, -1.8671, 0.0775], [0.1949, -0.2158, 4.1492]],
  "species": ["B", "B", "B", "Rh", "Cd"],
  "frac_coords": [[0.0000, 0.5000, 0.0000], [0.0000, 0.0000, 0.5000], [0.5000, 0.0000, 0.0000], [0.0000, 0.0000, 0.0000], [0.5000, 0.5000, 0.5000]]
}

# 17
{
  "formula": "Cd5BRh4",
  "functional": "PBE",
  "state": "relaxed",
  "ef_mev_per_atom": -113,
  "n_ef_per_ev_cell": 7.16,
  "volume_a3_per_cell": 174,
  "spacegroup": "C2/m, No. 12",
  "cell": [[-1.3631, -2.6608, -0.0441], [6.7750, -3.5018, 1.8649], [-2.3556, 2.7733, 6.8368]],
  "species": ["Cd", "Cd", "Cd", "Cd", "Cd", "B", "Rh", "Rh", "Rh", "Rh"],
  "frac_coords": [[0.8230, 0.6317, 0.6459], [0.8229, 0.2227, 0.6458], [0.1771, 0.7773, 0.3542], [0.5000, 0.5000, 0.0000], [0.1770, 0.3683, 0.3541], [0.5000, 0.0000, 0.0000], [0.3608, 0.9480, 0.7217], [0.9991, 0.8094, 0.9982], [0.6392, 0.0520, 0.2783], [0.0009, 0.1906, 0.0018]]
}

# 18
{
  "formula": "CdBRh2",
  "functional": "PBE",
  "state": "relaxed",
  "ef_mev_per_atom": -294,
  "n_ef_per_ev_cell": 2.53,
  "volume_a3_per_cell": 56,
  "spacegroup": "R3m, No. 160",
  "de_polymorph_mev_per_atom": 13,
  "cell": [[3.0855, 0.0000, 0.0000], [1.5428, 2.6721, 0.0000], [1.5428, 0.8907, 6.8526]],
  "species": ["Cd", "B", "Rh", "Rh"],
  "frac_coords": [[0.5004, 0.5004, 0.4988], [0.6665, 0.6665, 0.0006], [0.0560, 0.0560, 0.8320], [0.2771, 0.2771, 0.1686]]
}

# 19
{
  "formula": "CdBRuRh2",
  "functional": "PBE",
  "state": "relaxed",
  "ef_mev_per_atom": -43,
  "n_ef_per_ev_cell": 6.46,
  "volume_a3_per_cell": 71,
  "spacegroup": "P4/mmm, No. 123",
  "cell": [[-0.0928, -2.5705, -3.2402], [3.7124, 1.3771, -1.1987], [1.8340, -2.9517, 2.2891]],
  "species": ["Ru", "B", "Rh", "Rh", "Cd"],
  "frac_coords": [[0.0000, 0.0000, 0.5000], [0.0000, 0.0000, 0.0000], [0.0000, 0.5000, 0.0000], [0.5000, 0.0000, 0.0000], [0.5000, 0.5000, 0.5000]]
}

# 20
{
  "formula": "Sc2CdB2Rh5",
  "functional": "PBE",
  "state": "relaxed",
  "ef_mev_per_atom": -739,
  "n_ef_per_ev_cell": 9.04,
  "volume_a3_per_cell": 282,
  "spacegroup": "P4/mbm, No. 127",
  "cell": [[-1.8640, 2.5091, -0.0347], [-4.7030, -3.3897, 7.5279], [6.0048, 4.5412, 5.7963]],
  "species": ["Sc", "Sc", "Sc", "Sc", "Cd", "Cd", "B", "B", "B", "B", "Rh", "Rh", "Rh", "Rh", "Rh", "Rh", "Rh", "Rh", "Rh", "Rh"],
  "frac_coords": [[0.0000, 0.6752, 0.1752], [0.0000, 0.3248, 0.8248], [0.0000, 0.1752, 0.3248], [0.0000, 0.8248, 0.6752], [0.0000, 0.0000, 0.0000], [0.0000, 0.5000, 0.5000], [0.0000, 0.1237, 0.6237], [0.0000, 0.8763, 0.3763], [0.0000, 0.6237, 0.8763], [0.0000, 0.3763, 0.1237], [0.5000, 0.2249, 0.0714], [0.5000, 0.7751, 0.9286], [0.5000, 0.0714, 0.7751], [0.5000, 0.7249, 0.4286], [0.5000, 0.9286, 0.2249], [0.5000, 0.2751, 0.5714], [0.5000, 0.5714, 0.7249], [0.5000, 0.4286, 0.2751], [0.5000, 0.5000, 0.0000], [0.5000, 0.0000, 0.5000]]
}

# 21
{
  "formula": "Sc2Cd2BRh4",
  "functional": "PBE",
  "state": "relaxed",
  "ef_mev_per_atom": -543,
  "n_ef_per_ev_cell": 4.15,
  "volume_a3_per_cell": 144,
  "spacegroup": "I4/mmm, No. 139",
  "cell": [[-1.7261, 5.5302, -0.7951], [-0.6305, -2.3918, 5.2988], [5.7236, -1.1901, -0.1376]],
  "species": ["Sc", "Sc", "Cd", "Cd", "B", "Rh", "Rh", "Rh", "Rh"],
  "frac_coords": [[0.0000, 0.7042, 0.7042], [0.0000, 0.2958, 0.2958], [0.5000, 0.7500, 0.2500], [0.5000, 0.2500, 0.7500], [0.0000, 0.0000, 0.0000], [0.0000, 0.7557, 0.2443], [0.5114, 0.7557, 0.7557], [0.0000, 0.2443, 0.7557], [0.4886, 0.2443, 0.2443]]
}

# 22
{
  "formula": "Cd2SiB2Rh5",
  "functional": "PBE",
  "state": "relaxed",
  "n_ef_per_ev_cell": 7.60,
  "formation_energy_uncorrected_ev_per_atom": -0.431,
  "volume_a3_per_cell": 265,
  "spacegroup": "P4/mbm, No. 127",
  "cell": [[-0.7328, -1.8434, 2.1096], [-0.7313, -7.0491, -6.4136], [9.2181, -2.1559, 1.3184]],
  "species": ["Cd", "Cd", "Cd", "Cd", "Si", "Si", "B", "B", "B", "B", "Rh", "Rh", "Rh", "Rh", "Rh", "Rh", "Rh", "Rh", "Rh", "Rh"],
  "frac_coords": [[0.0000, 0.6764, 0.1764], [0.0000, 0.3236, 0.8236], [0.0000, 0.1764, 0.3236], [0.0000, 0.8236, 0.6764], [0.0000, 0.0000, 0.0000], [0.0000, 0.5000, 0.5000], [0.0000, 0.1250, 0.6250], [0.0000, 0.8750, 0.3750], [0.0000, 0.6250, 0.8750], [0.0000, 0.3750, 0.1250], [0.5000, 0.2101, 0.0691], [0.5000, 0.7899, 0.9309], [0.5000, 0.0691, 0.7899], [0.5000, 0.7101, 0.4309], [0.5000, 0.9309, 0.2101], [0.5000, 0.2899, 0.5691], [0.5000, 0.5691, 0.7101], [0.5000, 0.4309, 0.2899], [0.5000, 0.5000, 0.0000], [0.5000, 0.0000, 0.5000]]
}